1.
A plane-wave DFT calculation with PBE was carried out for a geometry-optimized Zr2Ga3Fe structure.

```
Zr2Ga3Fe
1.0
4.4344 0.0000 0.0000
0.0000 5.4137 0.0000
0.0000 0.0000 9.3022
Zr Ga Fe
4 6 2
Direct
0.0000 0.0000 0.1849
0.0000 0.0000 0.8151
0.5000 0.5000 0.3151
0.5000 0.5000 0.6849
0.0000 0.5000 0.1373
0.0000 0.5000 0.5000
0.0000 0.5000 0.8627
0.5000 0.0000 0.0000
0.5000 0.0000 0.3627
0.5000 0.0000 0.6373
0.0000 0.0000 0.5000
0.5000 0.5000 0.0000
```

Values from the calculation:
- Theoretical density: 6.7 Mg/m³
- SG: Immm
- E: -70.80 eV for the cell shown
- Fermi-level density of states: 3.5 states/eV/f.u.

***

2.
A plane-wave DFT calculation with PBE was carried out for a geometry-optimized Zr2Ga4Fe3 structure.

```
Zr2Ga4Fe3
1.0
0.0000 4.3791 6.2352
2.5315 0.0000 6.2352
2.5315 4.3791 0.0000
Zr Ga Fe
2 4 3
Direct
0.1238 0.1238 0.8762
0.8762 0.8762 0.1238
0.1690 0.4968 0.5032
0.4968 0.1690 0.8310
0.5032 0.8310 0.1690
0.8310 0.5032 0.4968
0.0000 0.0000 0.5000
0.5000 0.5000 0.0000
0.5000 0.5000 0.5000
```

Values from the calculation:
- Theoretical density: 7.6 Mg/m³
- SG: Fmmm
- E: -58.11 eV for the cell shown
- Fermi-level density of states: 3.6 states/eV/f.u.

***

3.
A plane-wave DFT calculation with PBE was carried out for a geometry-optimized Zr3Ga2Fe structure.

```
Zr3Ga2Fe
1.0
11.0035 0.0000 0.0000
0.0000 4.0424 0.0000
0.0000 0.0000 10.1274
Zr Ga Fe
12 8 4
Direct
0.0469 0.2500 0.1367
0.1306 0.7500 0.5658
0.2316 0.2500 0.8022
0.2684 0.7500 0.3022
0.3694 0.2500 0.0658
0.4531 0.7500 0.6367
0.5469 0.2500 0.3633
0.6306 0.7500 0.9342
0.7316 0.2500 0.6978
0.7684 0.7500 0.1978
0.8694 0.2500 0.4342
0.9531 0.7500 0.8633
0.0065 0.7500 0.3197
0.1823 0.7500 0.0113
0.3177 0.2500 0.5113
0.4935 0.2500 0.8197
0.5065 0.7500 0.1803
0.6823 0.7500 0.4887
0.8177 0.2500 0.9887
0.9935 0.2500 0.6803
0.1268 0.2500 0.3800
0.3732 0.7500 0.8800
0.6268 0.2500 0.1200
0.8732 0.7500 0.6200
```

Values from the calculation:
- Theoretical density: 6.9 Mg/m³
- SG: Pnma
- E: -170.83 eV for the cell shown
- Fermi-level density of states: 4.1 states/eV/f.u.

***

4.
A plane-wave DFT calculation with PBE was carried out for a geometry-optimized Zr2Ga2Fe structure.

```
Zr2Ga2Fe
1.0
-2.8480 5.7543 2.7501
2.8480 -5.7543 2.7501
2.8480 5.7543 -2.7501
Zr Ga Fe
4 4 2
Direct
0.1633 0.2004 0.3637
0.3367 0.7004 0.0371
0.6633 0.2996 0.9629
0.8367 0.7996 0.6363
0.0816 0.6749 0.7565
0.4184 0.1749 0.5932
0.5816 0.8251 0.4068
0.9184 0.3251 0.2435
0.2500 0.2500 0.0000
0.7500 0.7500 0.0000
```

Values from the calculation:
- Theoretical density: 7.0 Mg/m³
- SG: Ibam
- E: -66.49 eV for the cell shown
- Fermi-level density of states: 4.6 states/eV/f.u.

***

| no. | energy of formation (eV per atom) |
| --- | --- |
| 1 | -0.13 |
| 2 | -0.39 |
| 3 | -0.42 |
| 4 | -0.33 |